Record 1
An optimized crystal structure of PuClO. Source: Alexandria via LeMat-Bulk, functional PBE.

It has space group P4/nmm (No. 129, origin choice 2), with a = 3.9931 Å, b = 3.9931 Å, c = 6.8589 Å, α = 90.00°, β = 90.00° and γ = 90.00°. The asymmetric unit holds Pu at (0.2500, 0.2500, 0.1719), Cl at (0.2500, 0.2500, 0.6315) and O at (0.2500, 0.7500, 0.0000).

The value obtained for the total energy is -9.665 eV/atom.



Record 2
An optimized crystal structure of ReSb2Rh. Source: Alexandria via LeMat-Bulk, functional PBE.

It has space group P4/mmm (No. 123), with a = 3.3223 Å, b = 3.3223 Å, c = 6.4792 Å, α = 90.00°, β = 90.00° and γ = 90.00°. The asymmetric unit holds Re at (0.0000, 0.0000, 0.0000), Sb at (0.5000, 0.5000, 0.2484) and Rh at (0.0000, 0.0000, 0.5000).

For the excess energy over the best structure of this formula in the dataset, the calculation gives 0.076 eV per atom. The value obtained for the total energy is -6.785 eV/atom.



Record 3
An optimized crystal structure of NpPaP2. Source: Alexandria via LeMat-Bulk, functional PBE.

It has space group R-3m (No. 166, hexagonal axes), with a = 3.9743 Å, b = 3.9743 Å, c = 19.3280 Å, α = 90.00°, β = 90.00° and γ = 120.00°. The asymmetric unit holds Np at (0.0000, 0.0000, 0.0000), Pa at (0.0000, 0.0000, 0.5000) and P at (0.0000, 0.0000, 0.2504).

For the excess energy over the best structure of this formula in the dataset, the calculation gives 0.000 eV per atom. The value obtained for the total energy is -9.418 eV/atom. Its formation energy from the elements is -1.10 eV/atom.